a:
LaY2Au | the Alexandria database | GGA-PBE | optimized geometry; mass density = 7.1 g/cm3; density of states at the Fermi level = 6.2 states/eV/cell; space group = No. 12
1.0
6.668 0.001 0.000
5.630 3.572 0.000
2.311 0.671 5.010
La Au Y
1 1 2
direct
0.250 0.250 0.250 La
0.750 0.750 0.750 Au
0.458 0.458 0.543 Y
0.042 0.042 0.957 Y


b:
LaY2Au | the Alexandria database | GGA-PBE | optimized geometry; mass density = 7.3 g/cm3; density of states at the Fermi level = 5.7 states/eV/cell; space group = No. 8
1.0
6.605 0.009 -0.012
5.509 3.643 -0.012
2.184 0.659 4.872
Y Au La
2 1 1
direct
0.794 0.794 0.701 Y
0.003 0.003 0.996 Y
0.491 0.491 0.520 Au
0.213 0.213 0.283 La


c:
LaY2Au | the Alexandria database | GGA-PBE | optimized geometry; mass density = 8.0 g/cm3; density of states at the Fermi level = 4.1 states/eV/cell; space group = No. 225
1.0
0.000 3.766 3.766
3.766 0.000 3.766
3.766 3.766 0.000
Y Au La
2 1 1
direct
0.750 0.750 0.750 Y
0.250 0.250 0.250 Y
0.500 0.500 0.500 Au
0.000 0.000 0.000 La


d:
LaY2Au | the Alexandria database | GGA-PBE | optimized geometry; mass density = 6.7 g/cm3; density of states at the Fermi level = 6.4 states/eV/cell; space group = No. 166
1.0
10.251 -0.025 -0.015
9.548 3.731 -0.015
9.548 1.787 3.276
Au Y La
1 2 1
direct
0.250 0.250 0.250 Au
0.518 0.518 0.518 Y
0.982 0.982 0.982 Y
0.750 0.750 0.750 La


Which of them is the most stable? Correct choice: a.


a:
LaY2Au | the Alexandria database | GGA-PBE | optimized geometry; mass density = 7.0 g/cm3; density of states at the Fermi level = 4.9 states/eV/cell; space group = No. 38
1.0
4.655 0.000 0.000
0.000 4.070 -0.005
0.000 2.045 6.400
La Au Y
1 1 2
direct
0.500 0.714 0.696 La
0.000 0.295 0.536 Au
0.500 0.438 0.248 Y
0.000 0.052 0.020 Y


b:
LaY2Au | the Alexandria database | GGA-PBE | optimized geometry; mass density = 7.5 g/cm3; density of states at the Fermi level = 6.3 states/eV/cell; space group = No. 139
1.0
-1.556 5.977 -0.603
-6.072 1.280 0.044
3.912 -3.275 3.533
La Y Au
1 2 1
direct
0.750 0.250 0.500 La
0.500 0.500 0.000 Y
0.000 0.000 0.000 Y
0.250 0.750 0.500 Au


Which of them is the most stable? Correct choice: a.